[1]
This record from OQMD describes crystalline NaLaFeSe3 at its relaxed geometry. The functional is PBE-GGA.

a b c (Å): 13.7565 4.1416 11.6450
angles (deg): 90.00 90.00 90.00
Last column: nearest neighbours and their distance in Å.
Element x y z (fractional)
Fe 0.4929 0.7500 0.0766  4 Se 2.41-2.55
Fe 0.9929 0.7500 0.4234  4 Se 2.41-2.55
Fe 0.0071 0.2500 0.5766  4 Se 2.41-2.55
Fe 0.5071 0.2500 0.9234  4 Se 2.41-2.55
La 0.9867 0.2500 0.1634  6 Se 2.97-3.10
La 0.4867 0.2500 0.3366  6 Se 2.97-3.10
La 0.5133 0.7500 0.6634  6 Se 2.97-3.10
La 0.0133 0.7500 0.8366  6 Se 2.97-3.10
Na 0.2724 0.2500 0.0526  6 Se 2.99-3.30
Na 0.7724 0.2500 0.4474  6 Se 2.99-3.30
Na 0.2276 0.7500 0.5526  6 Se 2.99-3.30
Na 0.7276 0.7500 0.9474  6 Se 2.99-3.30
Se 0.1159 0.7500 0.0618  3 La 2.97-2.98, 2 Na 2.99
Se 0.5980 0.2500 0.1056  3 Fe 2.46-2.55
Se 0.3658 0.7500 0.2193  1 Fe 2.41
Se 0.8658 0.7500 0.2807  1 Fe 2.41
Se 0.0980 0.2500 0.3944  3 Fe 2.46-2.55
Se 0.6159 0.7500 0.4382  3 La 2.97-2.98, 2 Na 2.99
Se 0.3841 0.2500 0.5618  3 La 2.97-2.98, 2 Na 2.99
Se 0.9020 0.7500 0.6056  3 Fe 2.46-2.55
Se 0.1342 0.2500 0.7193  1 Fe 2.41
Se 0.6342 0.2500 0.7807  1 Fe 2.41
Se 0.4020 0.7500 0.8944  3 Fe 2.46-2.55
Se 0.8841 0.2500 0.9382  3 La 2.97-2.98, 2 Na 2.99

Summary:
space-group type: Pnma, No. 62


[2]
This record from OQMD describes crystalline NaLaFeSe3 at its relaxed geometry. The functional is PBE-GGA.

a b c (Å): 8.3512 4.2405 16.6281
angles (deg): 90.00 90.00 90.00
Last column: nearest neighbours and their distance in Å.
Element x y z (fractional)
Fe 0.8731 0.2500 0.1390  4 Se 2.35-2.49
Fe 0.3731 0.2500 0.3610  4 Se 2.35-2.49
Fe 0.6269 0.7500 0.6390  4 Se 2.35-2.49
Fe 0.1270 0.7500 0.8610  4 Se 2.35-2.49
La 0.2506 0.2500 0.0474  7 Se 2.96-3.18
La 0.7506 0.2500 0.4526  7 Se 2.96-3.18
La 0.2494 0.7500 0.5474  7 Se 2.96-3.18
La 0.7494 0.7500 0.9526  7 Se 2.96-3.18
Na 0.5785 0.7500 0.2193  7 Se 3.05-3.36
Na 0.0785 0.7500 0.2807  7 Se 3.05-3.36
Na 0.9215 0.2500 0.7193  7 Se 3.05-3.36
Na 0.4215 0.2500 0.7807  7 Se 3.05-3.36
Se 0.6241 0.2500 0.0645  1 Fe 2.42
Se 0.0036 0.7500 0.0952  2 Fe 2.49
Se 0.3147 0.2500 0.2227  1 Fe 2.35
Se 0.8147 0.2500 0.2773  1 Fe 2.35
Se 0.5036 0.7500 0.4048  2 Fe 2.49
Se 0.1241 0.2500 0.4355  1 Fe 2.42
Se 0.8759 0.7500 0.5645  1 Fe 2.42
Se 0.4964 0.2500 0.5952  2 Fe 2.49
Se 0.1853 0.7500 0.7227  1 Fe 2.35
Se 0.6853 0.7500 0.7773  1 Fe 2.35
Se 0.9964 0.2500 0.9048  2 Fe 2.49
Se 0.3759 0.7500 0.9355  1 Fe 2.42

Summary:
space-group type: Pnma, No. 62


[3]
This record from OQMD describes crystalline NaLaFeSe3 at its relaxed geometry. The functional is PBE-GGA.

a b c (Å): 4.2643 11.5753 12.1436
angles (deg): 90.00 90.00 90.00
Last column: nearest neighbours and their distance in Å.
Element x y z (fractional)
Fe 0.7500 0.7487 0.2111  4 Se 2.40-2.47
Fe 0.7500 0.2487 0.2889  4 Se 2.40-2.47
Fe 0.2500 0.7513 0.7111  4 Se 2.40-2.47
Fe 0.2500 0.2513 0.7889  4 Se 2.40-2.47
La 0.2500 0.4836 0.1806  7 Se 3.02-3.12
La 0.2500 0.9836 0.3194  7 Se 3.02-3.12
La 0.7500 0.0164 0.6806  7 Se 3.02-3.12
La 0.7500 0.5164 0.8194  7 Se 3.02-3.12
Na 0.7500 0.1703 0.0049  7 Se 3.10-3.36
Na 0.7500 0.6703 0.4951  7 Se 3.10-3.36
Na 0.2500 0.3297 0.5049  7 Se 3.10-3.36
Na 0.2500 0.8297 0.9951  7 Se 3.10-3.36
Se 0.7500 0.6157 0.0580  1 Fe 2.41
Se 0.7500 0.9439 0.1454  1 Fe 2.40
Se 0.2500 0.2169 0.1911  2 Fe 2.47
Se 0.2500 0.7169 0.3089  2 Fe 2.47
Se 0.7500 0.4439 0.3546  1 Fe 2.40
Se 0.7500 0.1157 0.4420  1 Fe 2.41
Se 0.2500 0.8843 0.5580  1 Fe 2.41
Se 0.2500 0.5561 0.6454  1 Fe 2.40
Se 0.7500 0.2831 0.6911  2 Fe 2.47
Se 0.7500 0.7831 0.8089  2 Fe 2.47
Se 0.2500 0.0561 0.8546  1 Fe 2.40
Se 0.2500 0.3843 0.9420  1 Fe 2.41

Summary:
space-group type: Pnma, No. 62


no.,volume (Å³/cell),total magnetic moment (μB/f.u.),distance to the lowest polymorph of the same formula (meV per atom)
1,663,4.003,7.5
2,589,4.003,30.6
3,599,3.999,0.0